NiSbO4 (GGA+U, relaxed); calculated density = 5.945 g/cm3; uncorrected energy = -5.3822 eV per atom
1.0
3.488 -5.601 0.000
3.488 5.601 0.000
-3.365 0.000 3.496
Ni Sb O
2 2 8
Cartesian
0.964 3.695 2.622
2.646 -3.695 0.874
2.646 0.956 0.874
0.964 -0.956 2.622
-0.665 2.273 2.877
0.730 0.557 1.185
-0.953 -0.557 2.933
2.592 2.273 2.366
1.018 -2.273 1.130
4.563 0.557 0.563
2.880 -0.557 2.311
4.275 -2.273 0.618